No. 1
This record from Alexandria via LeMat-Bulk describes a geometry-optimized KTl2Br structure. The functional is GGA-PBE.

Cell lengths 4.5451, 4.5451, 14.4677 Å; angles 90.00, 90.00, 90.00 degrees
Last column: nearest neighbours and their distance in Å.
Space group I4/mmm (No. 139)
Unique sites:
K 0.0000 0.0000 0.0000 (multiplicity 2)  4 Br 3.21
Tl 0.0000 0.5000 0.2500 (multiplicity 4)  4 Tl 3.21
Br 0.0000 0.0000 0.5000 (multiplicity 2)  4 K 3.21

Summary:
E in eV/atom: -2.4845
Uncorrected formation energy in eV/f.u.: -2.44
Offset from the most stable computed form in meV/atom: 7

***

No. 2
This record from Alexandria via LeMat-Bulk describes a geometry-optimized AcMgCo structure. The functional is GGA-PBE.

Cell lengths 6.3962, 12.2767, 7.4007 Å; angles 90.00, 90.00, 90.00 degrees
Last column: nearest neighbours and their distance in Å.
Space group Cmce (No. 64)
Unique sites:
Ac 0.0000 0.1934 0.1145 (multiplicity 8)  2 Co 2.85-2.88
Mg 0.2500 0.0429 0.7500 (multiplicity 8)  4 Co 2.74-2.77
Co 0.0000 0.0912 0.4597 (multiplicity 8)  1 Co 2.32

Summary:
E in eV/atom: -4.2598
Formation energy in kJ/mol of atoms: 1.0
Offset from the most stable computed form in meV/atom: 36

***

No. 3
This record from Alexandria via LeMat-Bulk describes a geometry-optimized NdDy8Sn6 structure. The functional is GGA-PBE.

Cell lengths 9.0712, 9.0712, 19.4697 Å; angles 90.00, 90.00, 120.00 degrees
Last column: nearest neighbours and their distance in Å.
Space group R-3 (No. 148, hexagonal axes)
Unique sites:
Nd 0.0000 0.0000 0.0000 (multiplicity 3)  6 Sn 3.34, 6 Dy 3.64
Dy 0.0000 0.0000 0.3330 (multiplicity 6)  6 Sn 3.27-3.28
Dy 0.0007 0.6701 0.1061 (multiplicity 18)  5 Sn 3.10-3.39
Sn 0.9998 0.3385 0.0677 (multiplicity 18)  7 Dy 3.10-3.39, 1 Nd 3.34

Summary:
E in eV/atom: -4.9153
Formation energy in kJ/mol of atoms: -52.3

***

No. 4
This record from Alexandria via LeMat-Bulk describes a geometry-optimized AcPS structure. The functional is GGA-PBE.

Cell lengths 5.9327, 5.8104, 17.8112 Å; angles 90.00, 90.00, 90.00 degrees
Last column: nearest neighbours and their distance in Å.
Space group Pnma (No. 62)
Unique sites:
Ac 0.0187 0.2500 0.1365 (multiplicity 4)  5 S 3.00-3.13
Ac 0.0204 0.7500 0.3499 (multiplicity 4)  5 S 2.99-3.04, 2 P 3.11
P 0.1822 0.0533 0.5026 (multiplicity 8)  2 P 2.25-2.29
S 0.0161 0.2500 0.3102 (multiplicity 4)  5 Ac 2.99-3.13
S 0.0161 0.7500 0.1793 (multiplicity 4)  5 Ac 2.99-3.04

Summary:
E in eV/atom: -6.1603
Uncorrected formation energy in eV/f.u.: -4.84

***

No. 5
This record from Alexandria via LeMat-Bulk describes a geometry-optimized Ba2CdSn2 structure. The functional is GGA-PBE.

Cell lengths 8.1973, 8.1973, 5.4036 Å; angles 90.00, 90.00, 90.00 degrees
Last column: nearest neighbours and their distance in Å.
Space group P4/mbm (No. 127)
Unique sites:
Ba 0.1677 0.3323 0.0000 (multiplicity 4)  6 Sn 3.57-3.66, 1 Ba 3.89
Cd 0.0000 0.0000 0.5000 (multiplicity 2)  4 Sn 3.21
Sn 0.1315 0.6315 0.5000 (multiplicity 4)  1 Sn 3.05, 2 Cd 3.21

Summary:
E in eV/atom: -3.0365
Formation energy in kJ/mol of atoms: -46.6
Offset from the most stable computed form in meV/atom: 121

***

No. 6
This record from Alexandria via LeMat-Bulk describes a geometry-optimized KSb2Rh structure. The functional is GGA-PBE.

Cell lengths 7.5677, 4.3518, 7.3797 Å; angles 90.00, 109.77, 90.00 degrees
Last column: nearest neighbours and their distance in Å.
Space group C2/m (No. 12)
Unique sites:
K 0.0000 0.0000 0.0000 (multiplicity 2)  6 Sb 3.54
Sb 0.2141 0.0000 0.6419 (multiplicity 4)  3 Rh 2.70
Rh 0.0000 0.5000 0.5000 (multiplicity 2)  6 Sb 2.70

Summary:
E in eV/atom: -4.5739
Uncorrected formation energy in eV/f.u.: -1.60
Offset from the most stable computed form in meV/atom: 2